Entry 1:
A relaxed structure of RbTl2Hg2Au2. Source: Alexandria via LeMat-Bulk, functional PBE-GGA.

**ΔH_f (0 K)**: -0.112 eV per atom
**Crystal system**: trigonal
**M_tot**: 0.000 μB/atom
**SG**: R-3m, No. 166

a = 10.4373 Å, b = 10.4373 Å, c = 10.4373 Å
α = 27.44°, β = 27.44°, γ = 27.44°
Last column: nearest neighbours and their distance in Å.
Positions (direct):
Rb 0.0000 0.0000 0.0000  6 Hg 3.74, 6 Au 3.88, 2 Tl 4.00
Tl 0.1328 0.1328 0.1328  3 Au 3.17, 3 Hg 3.27, 3 Tl 3.51
Tl 0.8672 0.8672 0.8672  3 Au 3.17, 3 Hg 3.27, 3 Tl 3.51
Hg 0.2534 0.2534 0.2534  3 Au 2.87
Hg 0.7466 0.7466 0.7466  3 Au 2.87
Au 0.4206 0.4206 0.4206  3 Hg 2.87, 3 Tl 3.17
Au 0.5794 0.5794 0.5794  3 Hg 2.87, 3 Tl 3.17



Entry 2:
A relaxed structure of RbTl4HgAu2. Source: Alexandria via LeMat-Bulk, functional PBE-GGA.

**ΔH_f (0 K)**: -0.088 eV per atom
**Crystal system**: tetragonal
**M_tot**: 0.000 μB/atom
**SG**: P4/mmm, No. 123

a = 5.1669 Å, b = 5.1669 Å, c = 9.3736 Å
α = 90.00°, β = 90.00°, γ = 90.00°
Last column: nearest neighbours and their distance in Å.
Positions (direct):
Rb 0.0000 0.0000 0.0000  8 Tl 3.89, 8 Au 3.91
Tl 0.0000 0.5000 0.3101  2 Au 2.99, 2 Hg 3.14
Tl 0.0000 0.5000 0.6899  2 Au 2.99, 2 Hg 3.14
Tl 0.5000 0.0000 0.3101  2 Au 2.99, 2 Hg 3.14
Tl 0.5000 0.0000 0.6899  2 Au 2.99, 2 Hg 3.14
Hg 0.0000 0.0000 0.5000  8 Tl 3.14
Au 0.5000 0.5000 0.1490  1 Au 2.79, 4 Tl 2.99
Au 0.5000 0.5000 0.8510  1 Au 2.79, 4 Tl 2.99



Entry 3:
A relaxed structure of RbTlHg8Au2. Source: Alexandria via LeMat-Bulk, functional PBE-GGA.

**ΔH_f (0 K)**: -0.037 eV per atom
**Crystal system**: monoclinic
**M_tot**: 0.000 μB/atom
**SG**: C2/m, No. 12

a = 5.8669 Å, b = 5.8669 Å, c = 11.5400 Å
α = 102.64°, β = 102.64°, γ = 66.42°
Last column: nearest neighbours and their distance in Å.
Positions (direct):
Rb 0.0000 0.0000 0.0000  6 Hg 3.34-3.58
Tl 0.0000 0.0000 0.5000  10 Hg 3.29-3.60
Hg 0.0819 0.5764 0.2517  2 Au 2.94, 3 Hg 3.18-3.29
Hg 0.3354 0.3354 0.5026  1 Au 2.93, 1 Hg 3.25
Hg 0.3400 0.3400 0.9996  2 Au 3.03-3.06, 5 Hg 3.14-3.36, 1 Rb 3.34
Hg 0.4236 0.9181 0.7483  2 Au 2.94, 3 Hg 3.18-3.29
Hg 0.5764 0.0819 0.2517  2 Au 2.94, 3 Hg 3.18-3.29
Hg 0.6600 0.6600 0.0004  2 Au 3.03-3.06, 5 Hg 3.14-3.36, 1 Rb 3.34
Hg 0.6646 0.6646 0.4974  1 Au 2.93, 1 Hg 3.25
Hg 0.9181 0.4236 0.7483  2 Au 2.94, 3 Hg 3.18-3.29
Au 0.4248 0.4248 0.7658  7 Hg 2.93-3.06
Au 0.5752 0.5752 0.2342  7 Hg 2.93-3.06